Entry 1:
First-principles (meta-GGA SCAN) data for a PBEsol-optimized structure of CaAsBr2, as listed in Alexandria.

```
data_CaAsBr2
_chemical_formula_sum 'Ca2 As2 Br4'
_space_group_name_H-M_alt 'C 1 2/m 1'
_space_group_IT_number 12
_space_group_name_Hall '-C 2y'
_cell_length_a 12.854
_cell_length_b 3.549
_cell_length_c 5.140
_cell_angle_alpha 90.00
_cell_angle_beta 95.29
_cell_angle_gamma 90.00
loop_
_atom_site_label
_atom_site_type_symbol
_atom_site_fract_x
_atom_site_fract_y
_atom_site_fract_z
Ca1 Ca 0.000 0.000 0.000
As1 As 0.000 0.500 0.500
Br1 Br 0.163 0.500 0.222
```

## Properties
As for the calculated total energy: -18.260 eV/atom. Its uncorrected formation energy is -1067 meV per atom. As for the crystal system: monoclinic. For the magnetic moment, the calculation gives 0.0 μB/cell.

***

Entry 2:
First-principles (meta-GGA SCAN) data for a PBEsol-optimized structure of Ca3AsBr, as listed in Alexandria.

```
data_Ca3AsBr
_chemical_formula_sum 'Ca3 As1 Br1'
_space_group_name_H-M_alt 'P m -3 m'
_space_group_IT_number 221
_space_group_name_Hall '-P 4 2 3'
_cell_length_a 5.595
_cell_length_b 5.595
_cell_length_c 5.595
_cell_angle_alpha 90.00
_cell_angle_beta 90.00
_cell_angle_gamma 90.00
loop_
_atom_site_label
_atom_site_type_symbol
_atom_site_fract_x
_atom_site_fract_y
_atom_site_fract_z
Ca1 Ca 0.000 0.000 0.500
As1 As 0.000 0.000 0.000
Br1 Br 0.500 0.500 0.500
```

## Properties
As for the calculated total energy: -14.582 eV/atom. Its uncorrected formation energy is -853 meV per atom. As for the crystal system: cubic. For the magnetic moment, the calculation gives 0.0 μB/cell.

***

Entry 3:
First-principles (meta-GGA SCAN) data for a PBEsol-optimized structure of CaAsBr2, as listed in Alexandria.

```
data_CaAsBr2
_chemical_formula_sum 'Ca4 As4 Br8'
_space_group_name_H-M_alt 'F m -3 m'
_space_group_IT_number 225
_space_group_name_Hall '-F 4 2 3'
_cell_length_a 7.268
_cell_length_b 7.268
_cell_length_c 7.268
_cell_angle_alpha 90.00
_cell_angle_beta 90.00
_cell_angle_gamma 90.00
loop_
_atom_site_label
_atom_site_type_symbol
_atom_site_fract_x
_atom_site_fract_y
_atom_site_fract_z
Ca1 Ca 0.000 0.000 0.000
As1 As 0.000 0.000 0.500
Br1 Br 0.250 0.250 0.250
```

## Properties
As for the calculated total energy: -17.869 eV/atom. Its uncorrected formation energy is -676 meV per atom. As for the crystal system: cubic. For the magnetic moment, the calculation gives 11.4 μB/cell.

***

Entry 4:
First-principles (meta-GGA SCAN) data for a PBEsol-optimized structure of Ca3AsBr3, as listed in Alexandria.

```
data_Ca3AsBr3
_chemical_formula_sum 'Ca3 As1 Br3'
_space_group_name_H-M_alt 'P m -3 m'
_space_group_IT_number 221
_space_group_name_Hall '-P 4 2 3'
_cell_length_a 5.860
_cell_length_b 5.860
_cell_length_c 5.860
_cell_angle_alpha 90.00
_cell_angle_beta 90.00
_cell_angle_gamma 90.00
loop_
_atom_site_label
_atom_site_type_symbol
_atom_site_fract_x
_atom_site_fract_y
_atom_site_fract_z
Ca1 Ca 0.000 0.000 0.500
As1 As 0.000 0.000 0.000
Br1 Br 0.000 0.500 0.500
```

## Properties
As for the calculated total energy: -17.354 eV/atom. Its uncorrected formation energy is -1989 meV per atom. As for the crystal system: cubic. For the magnetic moment, the calculation gives 0.0 μB/cell.